The following is a DFT calculation (PBE) of an optimized crystal structure of RbCe2AuSe5.

```
RbCe2AuSe5
1.0
-6.966 3.446 2.348
-4.102 -4.846 -5.060
4.832 -4.507 6.912
Ce Se Rb Au
4 10 2 2
direct
0.838 0.662 0.000
0.338 0.838 0.000
0.162 0.338 0.000
0.662 0.162 0.000
0.473 0.263 0.236
0.027 0.527 0.764
0.000 0.000 0.000
0.973 0.473 0.236
0.263 0.763 0.236
0.527 0.737 0.764
0.500 0.500 0.000
0.763 0.973 0.236
0.737 0.237 0.764
0.237 0.027 0.764
0.250 0.250 0.500
0.750 0.750 0.500
0.750 0.250 0.500
0.250 0.750 0.500
```

Results
Uncorrected formation energy: -11.454 eV/f.u.
ρ: 6.31 g/cm³
Fermi-level density of states: 7.8 states/eV per cell
Electronic total energy: -4.9988 eV/atom

The following is a DFT calculation (PBE) of an optimized crystal structure of Li3Pd2Au2.

```
Li3Pd2Au2
1.0
4.510 0.000 -0.065
0.000 2.767 0.000
-2.113 0.000 8.953
Li Pd Au
3 2 2
direct
0.000 0.000 0.000
0.288 0.000 0.576
0.712 0.000 0.424
0.144 0.000 0.286
0.856 0.000 0.714
0.582 0.500 0.162
0.418 0.500 0.838
```

Results
Offset from the most stable computed form: 0.027 eV per atom
ρ: 9.36 g/cm³
Fermi-level density of states: 2.5 states/eV per cell
Electronic total energy: -3.5757 eV/atom

The following is a DFT calculation (PBE) of an optimized crystal structure of Tc3SBr.

```
Tc3SBr
1.0
4.467 0.000 0.000
0.000 4.467 0.000
0.000 0.000 4.467
S Tc Br
1 3 1
direct
0.000 0.000 0.000
0.000 0.500 0.000
0.500 0.000 0.000
0.000 0.000 0.500
0.500 0.500 0.500
```

Results
Uncorrected formation energy: 4.908 eV/f.u.
Offset from the most stable computed form: 0.000 eV per atom
ρ: 7.56 g/cm³
Fermi-level density of states: 5.5 states/eV per cell
Electronic total energy: -6.3980 eV/atom

The following is a DFT calculation (PBE) of an optimized crystal structure of ZnGe2TeRh.

```
ZnGe2TeRh
1.0
-4.199 -1.429 -1.312
-1.099 -1.397 5.038
-1.690 4.230 0.804
Ge Zn Te Rh
2 1 1 1
direct
0.500 0.000 0.000
0.000 0.000 0.500
0.000 0.000 0.000
0.000 0.500 0.000
0.500 0.500 0.500
```

Results
Uncorrected formation energy: 4.170 eV/f.u.
ρ: 6.41 g/cm³
Fermi-level density of states: 3.6 states/eV per cell
Electronic total energy: -3.3664 eV/atom